(1)
Compound: Y4CoRh
Source: Alexandria via LeMat-Bulk
Functional: PBE
Structure: optimized geometry

The structure in POSCAR format:
```
Y4CoRh
1.0
-2.0162 -1.3742 -5.7059
4.3460 -5.8158 1.1641
-6.2563 0.3089 4.8613
Y Co Rh
8 2 2
Direct
0.0080 0.2339 0.8781
0.7933 0.6896 0.6406
0.3701 0.6442 0.8781
0.3473 0.9511 0.6406
0.6527 0.0489 0.3594
0.6299 0.3558 0.1219
0.2067 0.3104 0.3594
0.9920 0.7661 0.1219
0.2518 0.0018 0.0037
0.7482 0.9982 0.9963
0.3880 0.6380 0.2761
0.6120 0.3620 0.7239
```

Summary:
magnetization: 0.00 μB/cell

***

(2)
Compound: Y4CoRh
Source: Alexandria via LeMat-Bulk
Functional: PBE
Structure: optimized geometry

The structure in POSCAR format:
```
Y4CoRh
1.0
0.0000 4.2279 4.2279
4.2279 0.0000 4.2279
4.2279 4.2279 0.0000
Y Co Rh
4 1 1
Direct
0.8766 0.3745 0.3745
0.3745 0.3745 0.8766
0.3745 0.8766 0.3745
0.3745 0.3745 0.3745
0.7500 0.7500 0.7500
0.0000 0.0000 0.0000
```

Summary:
magnetization: 1.13 μB/cell

***

(3)
Compound: Y4CoRh
Source: Alexandria via LeMat-Bulk
Functional: PBE
Structure: optimized geometry

The structure in POSCAR format:
```
Y4CoRh
1.0
7.6079 -0.1217 0.0000
-3.1835 6.9109 0.0000
-2.2122 -3.3946 6.4404
Y Co Rh
8 2 2
Direct
0.2430 0.9472 0.7042
0.7571 0.4551 0.6979
0.6972 0.4930 0.2042
0.2051 0.0071 0.1979
0.2888 0.4930 0.7958
0.8092 0.0071 0.8021
0.7571 0.0592 0.3021
0.2430 0.5388 0.2958
0.2520 0.2520 0.0000
0.0020 0.5020 0.5000
0.7477 0.7477 0.0000
0.4977 0.9977 0.5000
```

Summary:
magnetization: 0.00 μB/cell

***

Most stable one: (1), least stable one: (2).

***

(1)
Compound: Y3CoRh
Source: Alexandria via LeMat-Bulk
Functional: PBE
Structure: optimized geometry

The structure in POSCAR format:
```
Y3CoRh
1.0
3.9545 0.0000 0.0000
0.0000 7.3183 -2.1286
0.0000 -0.6415 8.1863
Y Co Rh
6 2 2
Direct
0.7500 0.6367 0.4024
0.2500 0.3633 0.5976
0.7500 0.3073 0.9229
0.2500 0.9066 0.7685
0.2500 0.6927 0.0771
0.7500 0.0934 0.2315
0.2500 0.9552 0.4356
0.7500 0.0448 0.5644
0.2500 0.3598 0.1917
0.7500 0.6402 0.8083
```

Summary:
magnetization: 1.05 μB/cell

***

(2)
Compound: Y3CoRh
Source: Alexandria via LeMat-Bulk
Functional: PBE
Structure: optimized geometry

The structure in POSCAR format:
```
Y3CoRh
1.0
-1.1585 0.5098 -4.8756
3.6855 -3.2129 -1.2116
-3.2325 -3.8459 0.3660
Y Co Rh
3 1 1
Direct
0.0000 0.5000 0.0000
0.0000 0.0000 0.5000
0.5000 0.0000 0.0000
0.0000 0.0000 0.0000
0.5000 0.5000 0.5000
```

Summary:
magnetization: 0.00 μB/cell

***

Most stable one: (1), least stable one: (2).

***

(1)
Compound: YCoRh3
Source: Alexandria via LeMat-Bulk
Functional: PBE
Structure: optimized geometry

The structure in POSCAR format:
```
YCoRh3
1.0
-0.3382 4.7928 -0.5478
-3.0463 0.2136 3.7497
3.7405 0.6073 3.0043
Y Co Rh
1 1 3
Direct
0.0000 0.0000 0.0000
0.5000 0.5000 0.5000
0.0000 0.5000 0.0000
0.0000 0.0000 0.5000
0.5000 0.0000 0.0000
```

Summary:
magnetization: 0.27 μB/cell

***

(2)
Compound: YCoRh3
Source: Alexandria via LeMat-Bulk
Functional: PBE
Structure: optimized geometry

The structure in POSCAR format:
```
YCoRh3
1.0
-2.5369 -3.6972 -0.5914
2.1470 -0.8512 -3.8885
3.0675 -2.4619 2.2326
Y Co Rh
1 1 3
Direct
0.5000 0.5000 0.5000
0.0000 0.0000 0.0000
0.0000 0.5000 0.0000
0.0000 0.0000 0.5000
0.5000 0.0000 0.0000
```

Summary:
magnetization: 3.46 μB/cell

***

Most stable one: (2), least stable one: (1).

***

(1)
Compound: ZnCo3Rh
Source: Alexandria via LeMat-Bulk
Functional: PBE
Structure: optimized geometry

The structure in POSCAR format:
```
ZnCo3Rh
1.0
-1.5344 -0.8321 -4.1796
4.1381 -1.3529 -1.2498
-1.0188 -4.2419 1.2185
Co Zn Rh
3 1 1
Direct
0.0000 0.5000 0.0000
0.0000 0.0000 0.5000
0.5000 0.0000 0.0000
0.5000 0.5000 0.5000
0.0000 0.0000 0.0000
```

Summary:
magnetization: 6.63 μB/cell

***

(2)
Compound: ZnCo3Rh
Source: Alexandria via LeMat-Bulk
Functional: PBE
Structure: optimized geometry

The structure in POSCAR format:
```
ZnCo3Rh
1.0
4.2523 0.0000 0.0000
0.0000 4.2523 0.0000
0.0000 0.0000 4.2523
Co Zn Rh
3 1 1
Direct
0.0000 0.5000 0.0000
0.0000 0.0000 0.5000
0.5000 0.0000 0.0000
0.0000 0.0000 0.0000
0.5000 0.5000 0.5000
```

Summary:
magnetization: 5.92 μB/cell

***

Most stable one: (2), least stable one: (1).

***

(1)
Compound: ZrCo2Rh2
Source: Alexandria via LeMat-Bulk
Functional: PBE
Structure: optimized geometry

The structure in POSCAR format:
```
ZrCo2Rh2
1.0
-2.2045 -2.5254 0.5620
0.8963 -0.0529 3.2783
-5.3839 3.1435 3.2849
Co Rh Zr
2 2 1
Direct
0.7500 0.2500 0.5000
0.2500 0.7500 0.5000
0.3953 0.3953 0.2093
0.6047 0.6047 0.7907
0.0000 0.0000 0.0000
```

Summary:
magnetization: 3.74 μB/cell

***

(2)
Compound: ZrCo2Rh2
Source: Alexandria via LeMat-Bulk
Functional: PBE
Structure: optimized geometry

The structure in POSCAR format:
```
ZrCo2Rh2
1.0
-6.9939 -0.0329 1.7091
1.4533 -3.9042 5.8721
0.3519 2.3650 1.4853
Co Rh Zr
4 4 2
Direct
0.1677 0.6677 0.5000
0.6677 0.8323 0.5000
0.8323 0.3323 0.5000
0.3323 0.1677 0.5000
0.3698 0.8698 0.0000
0.8698 0.6302 0.0000
0.6302 0.1302 0.0000
0.1302 0.3698 0.0000
0.0000 0.0000 0.0000
0.5000 0.5000 0.0000
```

Summary:
magnetization: 7.32 μB/cell

***

Most stable one: (1), least stable one: (2).

***

(1)
Compound: Zr6CoRh2
Source: Alexandria via LeMat-Bulk
Functional: PBE
Structure: optimized geometry

The structure in POSCAR format:
```
Zr6CoRh2
1.0
-2.2461 2.5222 0.1138
-5.4141 -4.7452 -1.6885
1.6575 1.1285 7.7058
Zr Co Rh
6 1 2
Direct
0.5000 0.5735 0.0000
0.5000 0.4214 0.3759
0.5000 0.0455 0.6241
0.0000 0.2179 0.0000
0.0000 0.7430 0.7363
0.0000 0.0067 0.2637
0.5000 0.9475 0.0000
0.0000 0.3616 0.6786
0.0000 0.6830 0.3214
```

Summary:
magnetization: 0.00 μB/cell

***

(2)
Compound: Zr6CoRh2
Source: Alexandria via LeMat-Bulk
Functional: PBE
Structure: optimized geometry

The structure in POSCAR format:
```
Zr6CoRh2
1.0
5.5368 0.0000 0.2328
0.0000 7.1909 0.0000
-0.3397 0.0000 8.9870
Zr Co Rh
12 2 4
Direct
0.8378 0.9479 0.2511
0.8437 0.6512 0.5432
0.8561 0.7194 0.9399
0.6439 0.2194 0.5601
0.6563 0.1512 0.9568
0.6622 0.4479 0.2489
0.1622 0.0521 0.7489
0.1563 0.3488 0.4568
0.1439 0.2806 0.0601
0.3561 0.7806 0.4399
0.3437 0.8488 0.0432
0.3378 0.5521 0.7511
0.5000 0.5000 0.0000
0.0000 0.0000 0.5000
0.8762 0.4045 0.7843
0.6238 0.9045 0.7157
0.3762 0.0955 0.2843
0.1238 0.5955 0.2157
```

Summary:
magnetization: 0.00 μB/cell

***

Most stable one: (1), least stable one: (2).

***

(1)
Compound: ZrCo3Rh
Source: Alexandria via LeMat-Bulk
Functional: PBE
Structure: optimized geometry

The structure in POSCAR format:
```
ZrCo3Rh
1.0
4.4466 0.0000 0.0000
0.0000 4.4466 0.0000
0.0000 0.0000 4.4466
Co Rh Zr
3 1 1
Direct
0.0000 0.5000 0.0000
0.0000 0.0000 0.5000
0.5000 0.0000 0.0000
0.5000 0.5000 0.5000
0.0000 0.0000 0.0000
```

Summary:
magnetization: 3.65 μB/cell

***

(2)
Compound: ZrCo3Rh
Source: Alexandria via LeMat-Bulk
Functional: PBE
Structure: optimized geometry

The structure in POSCAR format:
```
ZrCo3Rh
1.0
-3.3061 -1.5907 2.5525
-2.0548 -1.5751 -3.6431
2.1962 -3.8684 0.4338
Co Rh Zr
3 1 1
Direct
0.0000 0.5000 0.0000
0.0000 0.0000 0.5000
0.5000 0.0000 0.0000
0.0000 0.0000 0.0000
0.5000 0.5000 0.5000
```

Summary:
magnetization: 5.29 μB/cell

***

Most stable one: (2), least stable one: (1).

***

(1)
Compound: Zr6CoRh
Source: Alexandria via LeMat-Bulk
Functional: PBE
Structure: optimized geometry

The structure in POSCAR format:
```
Zr6CoRh
1.0
4.4481 0.0002 1.3393
-0.4036 4.4291 1.3397
-0.0202 -0.0231 8.1226
Zr Co Rh
6 1 1
Direct
0.7494 0.7493 0.5014
0.6081 0.1081 0.7838
0.1081 0.6081 0.7838
0.3919 0.8919 0.2162
0.2506 0.2507 0.4986
0.8919 0.3919 0.2162
0.5000 0.5000 0.0000
0.0000 0.0000 0.0000
```

Summary:
magnetization: 0.65 μB/cell

***

(2)
Compound: Zr6CoRh
Source: Alexandria via LeMat-Bulk
Functional: PBE
Structure: optimized geometry

The structure in POSCAR format:
```
Zr6CoRh
1.0
-4.9925 -2.7498 1.7763
0.4489 -5.4938 2.4127
0.7582 -0.5527 6.1033
Zr Co Rh
6 1 1
Direct
0.7451 0.4634 0.5982
0.7451 0.0616 0.4018
0.2549 0.9384 0.5982
0.2549 0.5366 0.4018
0.7378 0.7409 0.0000
0.2622 0.2591 0.0000
0.5000 0.5000 0.0000
0.0000 0.0000 0.0000
```

Summary:
magnetization: 0.00 μB/cell

***

Most stable one: (1), least stable one: (2).

***

(1)
Compound: Co3Ru5
Source: Alexandria via LeMat-Bulk
Functional: PBE
Structure: optimized geometry

The structure in POSCAR format:
```
Co3Ru5
1.0
4.6270 0.0000 0.0386
2.3135 6.5567 0.0193
-2.2650 0.0000 6.7731
Ru Co
10 6
Direct
0.0351 0.6997 0.8509
0.2306 0.8550 0.3059
0.2315 0.5000 0.4511
0.2347 0.3003 0.8509
0.4153 0.8550 0.6949
0.5856 0.1450 0.3059
0.7661 0.6997 0.1500
0.7694 0.5000 0.5497
0.7703 0.1450 0.6949
0.9657 0.3003 0.1500
0.1647 0.1715 0.5004
0.2570 0.9867 0.0004
0.3988 0.5000 0.1544
0.6020 0.5000 0.8464
0.7438 0.0133 0.0004
0.8362 0.8285 0.5004
```

Summary:
magnetization: 0.06 μB/cell

***

(2)
Compound: Co3Ru5
Source: Alexandria via LeMat-Bulk
Functional: PBE
Structure: optimized geometry

The structure in POSCAR format:
```
Co3Ru5
1.0
7.1304 -0.0010 0.0000
3.5663 6.1745 0.0000
0.0000 0.0000 4.7590
Ru Co
10 6
Direct
0.0000 0.2211 0.2500
0.0000 0.7789 0.7500
0.2211 0.7789 0.2500
0.2211 0.0000 0.7500
0.3333 0.3333 0.0000
0.3333 0.3333 0.5000
0.6667 0.6667 0.0000
0.6667 0.6667 0.5000
0.7789 0.2211 0.7500
0.7788 0.0000 0.2500
0.0000 0.4073 0.7500
0.0000 0.5927 0.2500
0.4073 0.5927 0.7500
0.4073 0.0000 0.2500
0.5927 0.4073 0.2500
0.5927 0.0000 0.7500
```

Summary:
magnetization: 8.07 μB/cell

***

Most stable one: (1), least stable one: (2).

***

(1)
Compound: Co5Ru3
Source: Alexandria via LeMat-Bulk
Functional: PBE
Structure: optimized geometry

The structure in POSCAR format:
```
Co5Ru3
1.0
-0.0204 2.6814 4.0559
-5.4260 1.0883 -4.0315
-2.9571 -6.1293 0.7526
Ru Co
6 10
Direct
0.2504 0.1702 0.5785
0.2504 0.0429 0.9574
0.7505 0.5781 0.1706
0.2503 0.4220 0.8303
0.7504 0.9570 0.0434
0.7504 0.8298 0.4224
0.7546 0.7048 0.7899
0.2553 0.9145 0.3364
0.7504 0.4585 0.5419
0.7552 0.3360 0.9149
0.2545 0.7894 0.7053
0.7463 0.2105 0.2955
0.2456 0.6640 0.0860
0.2504 0.5415 0.4589
0.7455 0.0855 0.6644
0.2463 0.2951 0.2110
```

Summary:
magnetization: 11.47 μB/cell

***

(2)
Compound: Co5Ru3
Source: Alexandria via LeMat-Bulk
Functional: PBE
Structure: optimized geometry

The structure in POSCAR format:
```
Co5Ru3
1.0
-4.2423 4.6815 -3.5290
-0.7899 -0.5356 -7.1746
-3.5177 -2.7414 0.5920
Ru Co
6 10
Direct
0.5917 0.0000 0.2500
0.4083 0.9999 0.7500
0.4082 0.5918 0.2500
0.9999 0.4083 0.2500
0.0001 0.5918 0.7500
0.5918 0.4082 0.7500
0.6667 0.6667 0.0000
0.3333 0.3332 0.5000
0.3333 0.3332 0.0000
0.6667 0.6667 0.5000
0.1985 0.0001 0.2500
0.8016 0.0000 0.7500
0.8015 0.1985 0.2500
0.9999 0.8016 0.2500
0.0001 0.1984 0.7500
0.1985 0.8016 0.7500
```

Summary:
magnetization: 17.47 μB/cell

***

Most stable one: (1), least stable one: (2).

***

(1)
Compound: CoRuS2
Source: Alexandria via LeMat-Bulk
Functional: PBE
Structure: optimized geometry

The structure in POSCAR format:
```
CoRuS2
1.0
5.0664 0.0000 0.0000
0.0000 5.0664 0.0000
2.5332 2.5332 5.1272
Ru S Co
2 4 2
Direct
0.0000 0.0000 0.0000
0.7500 0.2500 0.5000
0.6068 0.1250 0.2500
0.1432 0.6250 0.2500
0.3750 0.3932 0.7500
0.8750 0.8568 0.7500
0.5000 0.5000 0.0000
0.2500 0.7500 0.5000
```

Summary:
magnetization: 0.00 μB/cell

***

(2)
Compound: CoRuS2
Source: Alexandria via LeMat-Bulk
Functional: PBE
Structure: optimized geometry

The structure in POSCAR format:
```
CoRuS2
1.0
1.7768 0.0000 7.1346
-0.8884 1.5388 7.1346
-0.8884 -1.5388 7.1346
Ru S Co
1 2 1
Direct
0.0000 0.0000 0.0000
0.8954 0.8954 0.8954
0.1046 0.1046 0.1046
0.5000 0.5000 0.5000
```

Summary:
magnetization: 0.00 μB/cell

***

Most stable one: (1), least stable one: (2).